Record 1
Crystalline Li3ScW at its relaxed geometry, computed with PBE.

a = 4.777 Å, b = 4.777 Å, c = 4.777 Å
α = 90.00°, β = 90.00°, γ = 90.00°
Space group Pm-3m (No. 221)
One atom of each set of equivalent atoms:
Li: 0.000 0.000 0.500 x3
Sc: 0.500 0.500 0.500 x1
W: 0.000 0.000 0.000 x1

Properties
Its energy of formation from the pure elements is 1.38 eV per atom. As for the offset from the most stable computed form: 0.0 meV per atom. For the density of states at the Fermi level, the calculation gives 7.51 states/eV/cell. The energy comes out at -18.1 eV per cell. As for the crystal system: cubic. The total moment is 2.67 μB per formula unit.

Record 2
Crystalline ZrAs2Br at its relaxed geometry, computed with PBE.

a = 3.869 Å, b = 4.420 Å, c = 12.103 Å
α = 90.00°, β = 90.00°, γ = 90.00°
Space group Cmmm (No. 65)
One atom of each set of equivalent atoms:
Zr: 0.000 0.000 0.000 x2
As: 0.000 0.500 0.175 x4
Br: 0.000 0.000 0.500 x2

Properties
As for the offset from the most stable computed form: 376.8 meV per atom. The calculation puts the energy relative to the elements, uncorrected at -245 meV per atom. For the density of states at the Fermi level, the calculation gives 4.32 states/eV/cell. The energy comes out at -41.0 eV per cell. As for the crystal system: orthorhombic. The total moment is 0.00 μB per formula unit.

Record 3
Crystalline CrCd2Ru at its relaxed geometry, computed with PBE.

a = 4.059 Å, b = 4.059 Å, c = 4.181 Å
α = 90.00°, β = 90.00°, γ = 90.00°
Space group P4/mmm (No. 123)
One atom of each set of equivalent atoms:
Cr: 0.000 0.000 0.000 x1
Cd: 0.000 0.500 0.500 x2
Ru: 0.500 0.500 0.000 x1

Properties
Its energy of formation from the pure elements is 0.39 eV per atom. As for the offset from the most stable computed form: 233.1 meV per atom. For the density of states at the Fermi level, the calculation gives 4.54 states/eV/cell. The energy comes out at -19.2 eV per cell. As for the crystal system: tetragonal. The total moment is 3.63 μB per formula unit.

Record 4
Crystalline Pu3Ga9Ag2 at its relaxed geometry, computed with PBE.

a = 4.423 Å, b = 9.439 Å, c = 13.073 Å
α = 90.00°, β = 90.00°, γ = 90.00°
Space group Immm (No. 71)
One atom of each set of equivalent atoms:
Pu: 0.000 0.000 0.000 x2
Pu: 0.000 0.000 0.293 x4
Ga: 0.000 0.282 0.146 x8
Ga: 0.000 0.366 0.344 x8
Ga: 0.000 0.500 0.000 x2
Ag: 0.000 0.182 0.500 x4

Properties
Its energy of formation from the pure elements is -0.29 eV per atom. For the density of states at the Fermi level, the calculation gives 60.78 states/eV/cell. The energy comes out at -160.0 eV per cell. As for the crystal system: orthorhombic. The total moment is 17.01 μB per formula unit.

Record 5
Crystalline Tb2SiPIr6 at its relaxed geometry, computed with PBE.

a = 5.396 Å, b = 8.580 Å, c = 7.931 Å
α = 90.00°, β = 90.00°, γ = 90.00°
Space group Pmmn (No. 59, origin choice 2)
One atom of each set of equivalent atoms:
Tb: 0.250 0.021 0.213 x4
Si: 0.250 0.750 0.773 x2
P: 0.250 0.250 0.740 x2
Ir: 0.002 0.250 0.476 x4
Ir: 0.007 0.750 0.026 x4
Ir: 0.250 0.005 0.602 x4

Properties
The calculation puts the energy relative to the elements, uncorrected at -566 meV per atom. For the density of states at the Fermi level, the calculation gives 11.73 states/eV/cell. The energy comes out at -157.8 eV per cell. As for the crystal system: orthorhombic. The total moment is 0.00 μB per formula unit.

Record 6
Crystalline TaCd4Re at its relaxed geometry, computed with PBE.

a = 7.659 Å, b = 7.659 Å, c = 7.659 Å
α = 90.00°, β = 90.00°, γ = 90.00°
Space group F-43m (No. 216)
One atom of each set of equivalent atoms:
Ta: 0.000 0.000 0.000 x4
Cd: 0.125 0.125 0.625 x16
Re: 0.250 0.250 0.250 x4

Properties
Its energy of formation from the pure elements is 0.70 eV per atom. For the density of states at the Fermi level, the calculation gives 10.15 states/eV/cell. The energy comes out at -94.9 eV per cell. As for the crystal system: cubic. The total moment is 0.00 μB per formula unit.

Record 7
Crystalline NbCuP at its relaxed geometry, computed with PBE.

a = 3.563 Å, b = 3.563 Å, c = 13.284 Å
α = 90.00°, β = 90.00°, γ = 90.00°
Space group I4/mmm (No. 139)
One atom of each set of equivalent atoms:
Nb: 0.000 0.000 0.177 x4
Cu: 0.000 0.500 0.000 x4
P: 0.000 0.000 0.367 x4

Properties
Its energy of formation from the pure elements is -0.48 eV per atom. For the density of states at the Fermi level, the calculation gives 7.46 states/eV/cell. The energy comes out at -84.1 eV per cell. As for the crystal system: tetragonal. The total moment is 0.00 μB per formula unit.

Record 8
Crystalline PmIn3Pd3 at its relaxed geometry, computed with PBE.

a = 8.732 Å, b = 4.613 Å, c = 8.773 Å
α = 90.00°, β = 119.75°, γ = 90.00°
Space group P2_1/m (No. 11)
One atom of each set of equivalent atoms:
Pm: 0.165 0.250 0.332 x2
In: 0.224 0.250 0.753 x2
In: 0.255 0.750 0.031 x2
In: 0.471 0.750 0.724 x2
Pd: 0.057 0.250 0.944 x2
Pd: 0.113 0.750 0.555 x2
Pd: 0.444 0.750 0.387 x2

Properties
Its energy of formation from the pure elements is -0.53 eV per atom. As for the offset from the most stable computed form: 0.0 meV per atom. For the density of states at the Fermi level, the calculation gives 7.21 states/eV/cell. The energy comes out at -64.5 eV per cell. As for the crystal system: monoclinic. The total moment is 0.00 μB per formula unit.

Record 9
Crystalline Ca2YCu at its relaxed geometry, computed with PBE.

a = 7.664 Å, b = 7.664 Å, c = 7.664 Å
α = 90.00°, β = 90.00°, γ = 90.00°
Space group F-43m (No. 216)
One atom of each set of equivalent atoms:
Ca: 0.000 0.000 0.000 x4
Ca: 0.250 0.250 0.250 x4
Y: 0.250 0.250 0.750 x4
Cu: 0.000 0.000 0.500 x4

Properties
Its energy of formation from the pure elements is 0.23 eV per atom. As for the offset from the most stable computed form: 284.5 meV per atom. For the density of states at the Fermi level, the calculation gives 8.80 states/eV/cell. The energy comes out at -54.5 eV per cell. As for the crystal system: cubic. The total moment is 0.00 μB per formula unit.

Record 10
Crystalline TcSbPb2 at its relaxed geometry, computed with PBE.

a = 6.673 Å, b = 9.196 Å, c = 3.275 Å
α = 90.00°, β = 90.00°, γ = 90.00°
Space group Cmmm (No. 65)
One atom of each set of equivalent atoms:
Tc: 0.000 0.000 0.000 x2
Sb: 0.000 0.500 0.000 x2
Pb: 0.250 0.250 0.500 x4

Properties
The calculation puts the energy relative to the elements, uncorrected at 683 meV per atom. For the density of states at the Fermi level, the calculation gives 5.42 states/eV/cell. The energy comes out at -38.3 eV per cell. As for the crystal system: orthorhombic. The total moment is 2.44 μB per formula unit.

Record 11
Crystalline AlHgOs2 at its relaxed geometry, computed with PBE.

a = 2.8764 Å, b = 2.8764 Å, c = 27.0911 Å
α = 90.00°, β = 90.00°, γ = 120.00°
Space group R3m (No. 160, hexagonal axes)
One atom of each set of equivalent atoms:
Al: 0.0000 0.0000 0.0000 x3
Hg: 0.0000 0.0000 0.7570 x3
Os: 0.0000 0.0000 0.2576 x3
Os: 0.0000 0.0000 0.5165 x3

Properties
Its energy of formation from the pure elements is 0.29 eV per atom. As for the offset from the most stable computed form: 86.7 meV per atom. For the density of states at the Fermi level, the calculation gives 15.60 states/eV/cell. The energy comes out at -76.1 eV per cell. As for the crystal system: trigonal. The total moment is 0.00 μB per formula unit.

Record 12
Crystalline AgSbMo at its relaxed geometry, computed with PBE.

a = 4.7397 Å, b = 4.7397 Å, c = 2.9576 Å
α = 90.00°, β = 90.00°, γ = 120.00°
Space group P3m1 (No. 156)
One atom of each set of equivalent atoms:
Ag: 0.0000 0.0000 0.0000 x1
Sb: 0.3333 0.6667 0.5602 x1
Mo: 0.6667 0.3333 0.4992 x1

Properties
As for the offset from the most stable computed form: 46.6 meV per atom. The calculation puts the energy relative to the elements, uncorrected at 525 meV per atom. For the density of states at the Fermi level, the calculation gives 2.23 states/eV/cell. The energy comes out at -16.2 eV per cell. As for the crystal system: trigonal. The total moment is 0.00 μB per formula unit.